(1)
Here is a relaxed Co2CO crystal from the Alexandria database. Energies are from PBE with a Hubbard U.

abc: 3.710 3.710 3.710
angles: 60.00 60.00 60.00
Fractional coordinates of all 4 atoms:
Co (0.250, 0.250, 0.250)
Co (0.750, 0.750, 0.750)
C (0.000, 0.000, 0.000)
O (0.500, 0.500, 0.500)

Values from the calculation:
* magnetic moment: 3.92 μB per cell
* volume: 36.1 Å³/cell
* E: -5.354 eV per atom

(2)
Here is a relaxed CoCO3 crystal from the Alexandria database. Energies are from PBE with a Hubbard U.

abc: 3.601 3.601 3.601
angles: 90.00 90.00 90.00
Fractional coordinates of all 5 atoms:
Co (0.000, 0.000, 0.000)
C (0.500, 0.500, 0.500)
O (0.000, 0.000, 0.500)
O (0.000, 0.500, 0.000)
O (0.500, 0.000, 0.000)

Values from the calculation:
* magnetic moment: 2.18 μB per cell
* volume: 46.7 Å³/cell
* E: -4.603 eV per atom

(3)
Here is a relaxed CoCO2 crystal from the Alexandria database. Energies are from PBE with a Hubbard U.

abc: 5.549 5.549 5.549
angles: 134.77 134.77 65.89
Fractional coordinates of all 8 atoms:
Co (0.000, 0.000, 0.000)
Co (0.750, 0.250, 0.500)
C (0.250, 0.750, 0.500)
C (0.500, 0.500, 0.000)
O (0.169, 0.625, 0.044)
O (0.375, 0.419, 0.544)
O (0.581, 0.125, 0.956)
O (0.875, 0.831, 0.456)

Values from the calculation:
* magnetic moment: 5.70 μB per cell
* volume: 84.8 Å³/cell
* E: -5.439 eV per atom

(4)
Here is a relaxed CoC4O6 crystal from the Alexandria database. Energies are from PBE with a Hubbard U.

abc: 7.756 7.756 7.628
angles: 112.14 112.14 49.94
Fractional coordinates of all 22 atoms:
Co (0.000, 0.500, 0.000)
Co (0.500, 0.000, 0.500)
C (0.021, 0.254, 0.217)
C (0.078, 0.840, 0.760)
C (0.160, 0.922, 0.740)
C (0.254, 0.021, 0.717)
C (0.746, 0.979, 0.283)
C (0.840, 0.078, 0.260)
C (0.922, 0.160, 0.240)
C (0.979, 0.746, 0.783)
O (0.083, 0.651, 0.933)
O (0.191, 0.242, 0.336)
O (0.219, 0.456, 0.201)
O (0.242, 0.191, 0.836)
O (0.349, 0.917, 0.567)
O (0.456, 0.219, 0.701)
O (0.544, 0.781, 0.299)
O (0.651, 0.083, 0.433)
O (0.758, 0.809, 0.164)
O (0.781, 0.544, 0.799)
O (0.809, 0.758, 0.664)
O (0.917, 0.349, 0.067)

Values from the calculation:
* magnetic moment: 10.00 μB per cell
* volume: 319.3 Å³/cell
* E: -6.683 eV per atom

(5)
Here is a relaxed CoCO3 crystal from the Alexandria database. Energies are from PBE with a Hubbard U.

abc: 4.438 4.438 7.482
angles: 90.00 90.00 136.83
Fractional coordinates of all 10 atoms:
Co (0.000, 0.000, 0.000)
Co (0.000, 0.000, 0.500)
C (0.286, 0.714, 0.750)
C (0.714, 0.286, 0.250)
O (0.130, 0.870, 0.750)
O (0.364, 0.636, 0.599)
O (0.364, 0.636, 0.901)
O (0.636, 0.364, 0.099)
O (0.636, 0.364, 0.401)
O (0.870, 0.130, 0.250)

Values from the calculation:
* magnetic moment: 5.98 μB per cell
* volume: 100.8 Å³/cell
* E: -7.097 eV per atom

(6)
Here is a relaxed CoC4O4 crystal from the Alexandria database. Energies are from PBE with a Hubbard U.

abc: 5.833 5.833 5.833
angles: 90.00 90.00 90.00
Fractional coordinates of all 9 atoms:
Co (0.000, 0.000, 0.000)
C (0.179, 0.179, 0.821)
C (0.179, 0.821, 0.179)
C (0.821, 0.179, 0.179)
C (0.821, 0.821, 0.821)
O (0.294, 0.294, 0.706)
O (0.294, 0.706, 0.294)
O (0.706, 0.294, 0.294)
O (0.706, 0.706, 0.706)

Values from the calculation:
* magnetic moment: 1.00 μB per cell
* volume: 198.5 Å³/cell
* E: -7.295 eV per atom

(7)
Here is a relaxed Co2CO crystal from the Alexandria database. Energies are from PBE with a Hubbard U.

abc: 5.176 5.176 5.176
angles: 126.81 126.81 78.56
Fractional coordinates of all 8 atoms:
Co (0.115, 0.625, 0.990)
Co (0.375, 0.365, 0.490)
Co (0.635, 0.125, 0.010)
Co (0.875, 0.885, 0.510)
C (0.000, 0.000, 0.000)
C (0.750, 0.250, 0.500)
O (0.250, 0.750, 0.500)
O (0.500, 0.500, 0.000)

Values from the calculation:
* magnetic moment: 7.41 μB per cell
* volume: 86.1 Å³/cell
* E: -5.829 eV per atom

(8)
Here is a relaxed CoCO3 crystal from the Alexandria database. Energies are from PBE with a Hubbard U.

abc: 5.716 5.716 5.716
angles: 48.64 48.64 48.64
Fractional coordinates of all 10 atoms:
Co (0.000, 0.000, 0.000)
Co (0.500, 0.500, 0.500)
C (0.250, 0.250, 0.250)
C (0.750, 0.750, 0.750)
O (0.026, 0.750, 0.474)
O (0.250, 0.526, 0.974)
O (0.474, 0.026, 0.750)
O (0.526, 0.974, 0.250)
O (0.750, 0.474, 0.026)
O (0.974, 0.250, 0.526)

Values from the calculation:
* magnetic moment: 5.99 μB per cell
* volume: 96.5 Å³/cell
* E: -7.132 eV per atom

(9)
Here is a relaxed Co3CO crystal from the Alexandria database. Energies are from PBE with a Hubbard U.

abc: 3.742 3.742 3.742
angles: 90.00 90.00 90.00
Fractional coordinates of all 5 atoms:
Co (0.000, 0.000, 0.500)
Co (0.000, 0.500, 0.000)
Co (0.500, 0.000, 0.000)
C (0.000, 0.000, 0.000)
O (0.500, 0.500, 0.500)

Values from the calculation:
* magnetic moment: 4.63 μB per cell
* volume: 52.4 Å³/cell
* E: -5.195 eV per atom

(10)
Here is a relaxed CoCO2 crystal from the Alexandria database. Energies are from PBE with a Hubbard U.

abc: 9.829 9.829 9.829
angles: 16.89 16.89 16.89
Fractional coordinates of all 4 atoms:
Co (0.000, 0.000, 0.000)
C (0.500, 0.500, 0.500)
O (0.460, 0.460, 0.460)
O (0.540, 0.540, 0.540)

Values from the calculation:
* magnetic moment: 2.07 μB per cell
* volume: 69.9 Å³/cell
* E: -6.322 eV per atom

(11)
Here is a relaxed CoCO3 crystal from the Alexandria database. Energies are from PBE with a Hubbard U.

abc: 6.162 6.162 6.027
angles: 92.48 92.48 100.83
Fractional coordinates of all 10 atoms:
Co (0.000, 0.000, 0.000)
Co (0.000, 0.000, 0.500)
C (0.396, 0.604, 0.750)
C (0.604, 0.396, 0.250)
O (0.096, 0.904, 0.750)
O (0.276, 0.479, 0.626)
O (0.479, 0.276, 0.126)
O (0.521, 0.724, 0.874)
O (0.724, 0.521, 0.374)
O (0.904, 0.096, 0.250)

Values from the calculation:
* magnetic moment: 6.01 μB per cell
* volume: 224.2 Å³/cell
* E: -6.731 eV per atom

(12)
Here is a relaxed CoCO2 crystal from the Alexandria database. Energies are from PBE with a Hubbard U.

abc: 5.985 5.985 5.985
angles: 24.28 24.28 24.28
Fractional coordinates of all 4 atoms:
Co (0.000, 0.000, 0.000)
C (0.500, 0.500, 0.500)
O (0.114, 0.114, 0.114)
O (0.886, 0.886, 0.886)

Values from the calculation:
* magnetic moment: 1.35 μB per cell
* volume: 31.9 Å³/cell
* E: -5.187 eV per atom

(13)
Here is a relaxed Co2C3O9 crystal from the Alexandria database. Energies are from PBE with a Hubbard U.

abc: 7.221 7.672 7.695
angles: 109.55 110.44 106.41
Fractional coordinates of all 28 atoms:
Co (0.000, 0.000, 0.000)
Co (0.048, 0.658, 0.570)
Co (0.614, 0.156, 0.781)
Co (0.740, 0.668, 0.147)
C (0.198, 0.005, 0.404)
C (0.364, 0.285, 0.980)
C (0.495, 0.801, 0.823)
C (0.813, 0.952, 0.571)
C (0.881, 0.561, 0.828)
C (0.916, 0.372, 0.232)
O (0.026, 0.751, 0.974)
O (0.083, 0.828, 0.384)
O (0.093, 0.074, 0.291)
O (0.106, 0.450, 0.394)
O (0.235, 0.241, 0.056)
O (0.312, 0.729, 0.823)
O (0.407, 0.121, 0.526)
O (0.409, 0.146, 0.883)
O (0.439, 0.471, 0.004)
O (0.502, 0.866, 0.688)
O (0.673, 0.807, 0.953)
O (0.721, 0.865, 0.369)
O (0.761, 0.459, 0.891)
O (0.795, 0.467, 0.268)
O (0.812, 0.123, 0.673)
O (0.845, 0.214, 0.055)
O (0.856, 0.480, 0.645)
O (0.919, 0.877, 0.681)

Values from the calculation:
* magnetic moment: 1.93 μB per cell
* volume: 335.7 Å³/cell
* E: -6.969 eV per atom

(14)
Here is a relaxed CoC3O crystal from the Alexandria database. Energies are from PBE with a Hubbard U.

abc: 3.544 3.544 3.544
angles: 90.00 90.00 90.00
Fractional coordinates of all 5 atoms:
Co (0.000, 0.000, 0.000)
C (0.000, 0.500, 0.500)
C (0.500, 0.000, 0.500)
C (0.500, 0.500, 0.000)
O (0.500, 0.500, 0.500)

Values from the calculation:
* magnetic moment: 1.71 μB per cell
* volume: 44.5 Å³/cell
* E: -4.431 eV per atom

(15)
Here is a relaxed CoC3O crystal from the Alexandria database. Energies are from PBE with a Hubbard U.

abc: 3.623 3.623 3.623
angles: 90.00 90.00 90.00
Fractional coordinates of all 5 atoms:
Co (0.000, 0.000, 0.000)
C (0.000, 0.000, 0.500)
C (0.000, 0.500, 0.000)
C (0.500, 0.000, 0.000)
O (0.500, 0.500, 0.500)

Values from the calculation:
* magnetic moment: 0.00 μB per cell
* volume: 47.6 Å³/cell
* E: -5.012 eV per atom

(16)
Here is a relaxed CoPCO2 crystal from the Alexandria database. Energies are from PBE with a Hubbard U.

abc: 3.398 3.398 5.351
angles: 90.00 90.00 90.00
Fractional coordinates of all 5 atoms:
Co (0.000, 0.000, 0.000)
P (0.000, 0.000, 0.500)
C (0.500, 0.500, 0.500)
O (0.000, 0.500, 0.000)
O (0.500, 0.000, 0.000)

Values from the calculation:
* magnetic moment: 3.56 μB per cell
* volume: 61.8 Å³/cell
* E: -4.911 eV per atom

(17)
Here is a relaxed CoPCO2 crystal from the Alexandria database. Energies are from PBE with a Hubbard U.

abc: 3.549 3.549 3.874
angles: 90.00 90.00 90.00
Fractional coordinates of all 5 atoms:
Co (0.000, 0.000, 0.000)
P (0.500, 0.500, 0.000)
C (0.500, 0.500, 0.500)
O (0.000, 0.500, 0.500)
O (0.500, 0.000, 0.500)

Values from the calculation:
* magnetic moment: 2.74 μB per cell
* volume: 48.8 Å³/cell
* E: -4.896 eV per atom

(18)
Here is a relaxed Co3PbC4O12 crystal from the Alexandria database. Energies are from PBE with a Hubbard U.

abc: 6.239 6.239 6.239
angles: 102.90 102.90 102.90
Fractional coordinates of all 20 atoms:
Co (0.000, 0.542, 0.458)
Co (0.458, 0.000, 0.542)
Co (0.542, 0.458, 0.000)
Pb (0.000, 0.000, 0.000)
C (0.044, 0.500, 0.956)
C (0.500, 0.500, 0.500)
C (0.500, 0.956, 0.044)
C (0.956, 0.044, 0.500)
O (0.017, 0.606, 0.800)
O (0.090, 0.910, 0.500)
O (0.200, 0.394, 0.983)
O (0.367, 0.633, 0.500)
O (0.394, 0.983, 0.200)
O (0.500, 0.090, 0.910)
O (0.500, 0.367, 0.633)
O (0.606, 0.800, 0.017)
O (0.633, 0.500, 0.367)
O (0.800, 0.017, 0.606)
O (0.910, 0.500, 0.090)
O (0.983, 0.200, 0.394)

Values from the calculation:
* magnetic moment: 8.91 μB per cell
* volume: 221.0 Å³/cell
* E: -7.062 eV per atom

(19)
Here is a relaxed CoPbC2O6 crystal from the Alexandria database. Energies are from PBE with a Hubbard U.

abc: 6.323 6.323 6.323
angles: 46.44 46.44 46.44
Fractional coordinates of all 10 atoms:
Co (0.000, 0.000, 0.000)
Pb (0.500, 0.500, 0.500)
C (0.262, 0.262, 0.262)
C (0.738, 0.738, 0.738)
O (0.032, 0.544, 0.204)
O (0.204, 0.032, 0.544)
O (0.456, 0.796, 0.968)
O (0.544, 0.204, 0.032)
O (0.796, 0.968, 0.456)
O (0.968, 0.456, 0.796)

Values from the calculation:
* magnetic moment: 3.00 μB per cell
* volume: 121.2 Å³/cell
* E: -6.959 eV per atom

(20)
Here is a relaxed CoPd2CO crystal from the Alexandria database. Energies are from PBE with a Hubbard U.

abc: 4.704 4.704 3.379
angles: 90.00 90.00 90.00
Fractional coordinates of all 5 atoms:
Co (0.000, 0.000, 0.000)
Pd (0.000, 0.500, 0.000)
Pd (0.500, 0.000, 0.000)
C (0.000, 0.000, 0.500)
O (0.500, 0.500, 0.500)

Values from the calculation:
* magnetic moment: 1.89 μB per cell
* volume: 74.8 Å³/cell
* E: -4.416 eV per atom